Entry from Alexandria via LeMat-Bulk: an optimized crystal structure of VMoO6 (GGA+U).

Values from the calculation:
Energy = -6.773 eV/atom
Symmetry = C2/m (12)
V = 106.9 Å³ per cell
Mass density = 3.77 g/cm³
Fermi-level density of states = 4.09 states/eV per cell

Cell lengths 5.407, 5.407, 4.776 Å; angles 96.58, 96.58, 127.58 degrees
Positions (direct):
V: 0.000 0.000 0.000
Mo: 0.500 0.500 0.500
O: 0.115 0.374 0.245
O: 0.247 0.247 0.754
O: 0.374 0.115 0.245
O: 0.626 0.885 0.755
O: 0.753 0.753 0.246
O: 0.885 0.626 0.755